Record 1
Material: Ag2PRu
Method: DFT, PBE-GGA
State: relaxed

abc: 3.157 3.904 5.561
angles: 90.00 106.46 90.00
Sites, in units of the cell vectors:
Ag1 0.000 0.000 0.000
Ag2 0.367 0.500 0.736
P1 0.626 0.500 0.260
Ru1 0.728 0.000 0.456

Calculated values
* ρ: 8.8 Mg/m³
* energy above the lowest structure with this stoichiometry: 0.221 eV per atom
* formation enthalpy at 0 K: 0.7 eV/f.u.
* spin magnetization: 0.00 μB/f.u.


Record 2
Material: Sc5Ru3
Method: DFT, PBE-GGA
State: relaxed

abc: 7.642 7.642 5.816
angles: 108.95 108.95 84.12
Sites, in units of the cell vectors:
Sc1 0.005 0.995 0.750
Sc2 0.207 0.630 0.437
Sc3 0.217 0.362 0.801
Sc4 0.362 0.217 0.301
Sc5 0.370 0.793 0.063
Sc6 0.630 0.207 0.937
Sc7 0.638 0.783 0.699
Sc8 0.783 0.638 0.199
Sc9 0.793 0.370 0.563
Sc10 0.995 0.005 0.250
Ru1 0.007 0.679 0.913
Ru2 0.321 0.993 0.587
Ru3 0.495 0.505 0.250
Ru4 0.505 0.495 0.750
Ru5 0.679 0.007 0.413
Ru6 0.993 0.321 0.087

Calculated values
* ρ: 5.8 Mg/m³
* energy above the lowest structure with this stoichiometry: 0.084 eV per atom
* formation enthalpy at 0 K: -3.5 eV/f.u.
* spin magnetization: 0.00 μB/f.u.


Record 3
Material: CaSmRhAu
Method: DFT, PBE-GGA
State: relaxed

abc: 4.298 5.955 5.955
angles: 38.69 90.00 90.00
Sites, in units of the cell vectors:
Ca1 0.000 0.000 0.000
Sm1 0.500 0.717 0.717
Rh1 0.000 0.268 0.268
Au1 0.500 0.436 0.436

Calculated values
* ρ: 8.5 Mg/m³
* energy above the lowest structure with this stoichiometry: 0.000 eV per atom
* formation enthalpy at 0 K: -2.8 eV/f.u.
* spin magnetization: 0.00 μB/f.u.


Record 4
Material: CeBOs2
Method: DFT, PBE-GGA
State: relaxed

abc: 8.097 8.097 8.097
angles: 20.97 20.97 20.97
Sites, in units of the cell vectors:
Ce1 0.000 0.000 0.000
B1 0.500 0.500 0.500
Os1 0.223 0.223 0.223
Os2 0.777 0.777 0.777

Calculated values
* ρ: 14.8 Mg/m³
* formation enthalpy at 0 K: 0.6 eV/f.u.
* spin magnetization: 0.00 μB/f.u.


- Which value of formation enthalpy at 0 K does entry 3 give?
  -2.8 eV/f.u.


Copy entry 2 word for word.
Material: Sc5Ru3
Method: DFT, PBE-GGA
State: relaxed

abc: 7.642 7.642 5.816
angles: 108.95 108.95 84.12
Sites, in units of the cell vectors:
Sc1 0.005 0.995 0.750
Sc2 0.207 0.630 0.437
Sc3 0.217 0.362 0.801
Sc4 0.362 0.217 0.301
Sc5 0.370 0.793 0.063
Sc6 0.630 0.207 0.937
Sc7 0.638 0.783 0.699
Sc8 0.783 0.638 0.199
Sc9 0.793 0.370 0.563
Sc10 0.995 0.005 0.250
Ru1 0.007 0.679 0.913
Ru2 0.321 0.993 0.587
Ru3 0.495 0.505 0.250
Ru4 0.505 0.495 0.750
Ru5 0.679 0.007 0.413
Ru6 0.993 0.321 0.087

Calculated values
* ρ: 5.8 Mg/m³
* energy above the lowest structure with this stoichiometry: 0.084 eV per atom
* formation enthalpy at 0 K: -3.5 eV/f.u.
* spin magnetization: 0.00 μB/f.u.


Please write out number 3 again, unchanged.
Material: CaSmRhAu
Method: DFT, PBE-GGA
State: relaxed

abc: 4.298 5.955 5.955
angles: 38.69 90.00 90.00
Sites, in units of the cell vectors:
Ca1 0.000 0.000 0.000
Sm1 0.500 0.717 0.717
Rh1 0.000 0.268 0.268
Au1 0.500 0.436 0.436

Calculated values
* ρ: 8.5 Mg/m³
* energy above the lowest structure with this stoichiometry: 0.000 eV per atom
* formation enthalpy at 0 K: -2.8 eV/f.u.
* spin magnetization: 0.00 μB/f.u.